Ac4PrGa5 PBE optimized geometry; total energy = -4.089 eV/atom; formation energy = -43.8 kJ per mole of atoms
1.0
3.8842 0.0000 0.0000
0.0000 3.8842 0.0000
0.0000 0.0000 19.4728
Ac Pr Ga
4 1 5
Direct
0.0000 0.0000 0.1022 Ac
0.0000 0.0000 0.3060 Ac
0.0000 0.0000 0.6940 Ac
0.0000 0.0000 0.8978 Ac
0.0000 0.0000 0.5000 Pr
0.5000 0.5000 0.0000 Ga
0.5000 0.5000 0.2042 Ga
0.5000 0.5000 0.4118 Ga
0.5000 0.5000 0.5882 Ga
0.5000 0.5000 0.7958 Ga

=====

Ac3Pr4Ga4 PBE optimized geometry; total energy = -4.307 eV/atom; formation energy = -33.5 kJ per mole of atoms
1.0
-2.3807 4.1765 8.7964
2.3807 -4.1765 8.7964
2.3807 4.1765 -8.7964
Ac Pr Ga
3 4 4
Direct
0.0000 0.0000 0.0000 Ac
0.3920 0.8920 0.5000 Ac
0.6080 0.1080 0.5000 Ac
0.0335 0.3314 0.7021 Pr
0.3708 0.6686 0.7021 Pr
0.6292 0.3314 0.2979 Pr
0.9665 0.6686 0.2979 Pr
0.2291 0.2291 0.0000 Ga
0.3162 0.5000 0.8162 Ga
0.6838 0.5000 0.1838 Ga
0.7709 0.7709 0.0000 Ga

=====

AcPrGa2 PBE optimized geometry; total energy = -4.275 eV/atom; formation energy = -52.1 kJ per mole of atoms
1.0
4.2883 0.0000 0.0000
0.0000 2.2908 5.9121
0.0000 -2.2908 5.9121
Ac Pr Ga
1 1 2
Direct
0.0000 0.0000 0.0000 Ac
0.5000 0.7188 0.7188 Pr
0.0000 0.2826 0.2826 Ga
0.5000 0.4151 0.4151 Ga

=====

AcPr2Ga PBE optimized geometry; energy above the most stable polymorph in this dataset = 188.8 meV/atom; total energy = -4.222 eV/atom; formation energy = -4.7 kJ per mole of atoms
1.0
2.2461 1.2968 8.3056
-2.2461 1.2968 8.3056
0.0000 -2.5935 8.3056
Ac Pr Ga
1 2 1
Direct
0.0000 0.0000 0.0000 Ac
0.2270 0.2270 0.2270 Pr
0.4397 0.4397 0.4397 Pr
0.8337 0.8337 0.8337 Ga

=====

AcPrGa4 PBE optimized geometry; energy above the most stable polymorph in this dataset = 0.0 meV/atom; total energy = -4.140 eV/atom; formation energy = -61.8 kJ per mole of atoms
1.0
-2.2084 2.2084 7.5966
2.2084 -2.2084 7.5966
2.2084 2.2084 -7.5966
Ac Pr Ga
1 1 4
Direct
0.0000 0.0000 0.0000 Ac
0.2500 0.7500 0.5000 Pr
0.4143 0.4143 0.0000 Ga
0.5857 0.5857 0.0000 Ga
0.6687 0.1687 0.5000 Ga
0.8313 0.3313 0.5000 Ga

=====

AcPr3Ga2 PBE optimized geometry; energy above the most stable polymorph in this dataset = 0.0 meV/atom; total energy = -4.452 eV/atom; formation energy = -35.6 kJ per mole of atoms
1.0
4.8818 0.0000 0.0000
0.0000 9.1468 0.0000
0.0000 0.0000 8.3888
Ac Pr Ga
2 6 4
Direct
0.0000 0.0872 0.0000 Ac
0.0000 0.9128 0.5000 Ac
0.0000 0.3341 0.6144 Pr
0.0000 0.6659 0.1144 Pr
0.5000 0.1740 0.3348 Pr
0.5000 0.4206 0.9478 Pr
0.5000 0.5794 0.4478 Pr
0.5000 0.8260 0.8348 Pr
0.0000 0.3639 0.2446 Ga
0.0000 0.6361 0.7446 Ga
0.5000 0.1438 0.7120 Ga
0.5000 0.8562 0.2120 Ga